# 1
Density functional theory data (PBE) for an optimized crystal structure of SnIr2Cl2.

Properties
Fermi-level density of states: 0.55 states/eV per atom
space group: No. 127
VASP energy: -41.8 eV per cell
ΔE to the lowest computed polymorph: 12.63 kcal/mol of atoms
formation energy (no corrections): 0.900 eV per atom

a b c (Å): 8.0636 8.0636 2.9834
angles (deg): 90.00 90.00 90.00
Last column: nearest neighbours and their distance in Å.
Fractional positions:
Cl  0.6254  0.1254  0.0000  2 Ir 2.33
Ir  0.7171  0.7829  0.5000  2 Cl 2.33
Ir  0.2171  0.7171  0.5000  2 Cl 2.33
Cl  0.8746  0.6254  0.0000  2 Ir 2.33
Sn  0.0000  0.0000  0.0000  2 Sn 2.98, 4 Cl 3.19, 8 Ir 3.24
Cl  0.3746  0.8746  0.0000  2 Ir 2.33
Sn  0.5000  0.5000  0.0000  2 Sn 2.98, 4 Cl 3.19, 8 Ir 3.24
Cl  0.1254  0.3746  0.0000  2 Ir 2.33
Ir  0.7829  0.2829  0.5000  2 Cl 2.33
Ir  0.2829  0.2171  0.5000  2 Cl 2.33

***

# 2
Density functional theory data (PBE) for an optimized crystal structure of NdAlB.

Properties
Fermi-level density of states: 0.26 states/eV per atom
space group: No. 12
VASP energy: -32.1 eV per cell
E_form: -0.286 eV per atom

a b c (Å): 4.5652 4.5534 7.0068
angles (deg): 109.27 90.00 120.09
Last column: nearest neighbours and their distance in Å.
Fractional positions:
B  0.5373  0.0747  0.1196  1 B 1.55
Nd  0.8987  0.7974  0.1993  3 B 2.68
Al  0.3474  0.6948  0.5408  1 B 2.20
B  0.4627  0.9253  0.8804  1 B 1.55
Nd  0.1013  0.2026  0.8007  3 B 2.68
Al  0.6526  0.3052  0.4592  1 B 2.20